Entry 1:
# PBE-GGA KYBe2F8, optimized geometry
data_KYBe2F8
_chemical_formula_sum 'K2 Y2 Be4 F16'
_space_group_name_H-M_alt 'C 1 2/m 1'
_space_group_IT_number 12
_cell_length_a 8.461
_cell_length_b 5.542
_cell_length_c 8.153
_cell_angle_alpha 90.00
_cell_angle_beta 92.49
_cell_angle_gamma 90.00
loop_
_space_group_symop_operation_xyz
'x,y,z'
'-x,-y,-z'
'-x,y,-z'
'x,-y,z'
'x+1/2,y+1/2,z'
'-x+1/2,-y+1/2,-z'
'-x+1/2,y+1/2,-z'
'x+1/2,-y+1/2,z'
loop_
_atom_site_label
_atom_site_fract_x
_atom_site_fract_y
_atom_site_fract_z
K1 0.000 0.000 0.000
Y1 0.000 0.000 0.500
Be1 0.129 0.500 0.274
F1 0.024 0.266 0.301
F2 0.203 0.500 0.112
F3 0.248 0.500 0.432
# Formation energy from raw total energies, eV/atom: -3.481
# D(E_F), states/eV per atom: 0.000

Entry 2:
# PBE-GGA KYBeF6, optimized geometry
data_KYBeF6
_chemical_formula_sum 'K2 Y2 Be2 F12'
_space_group_name_H-M_alt 'P 1 21/m 1'
_space_group_IT_number 11
_cell_length_a 6.436
_cell_length_b 5.874
_cell_length_c 7.154
_cell_angle_alpha 90.00
_cell_angle_beta 113.08
_cell_angle_gamma 90.00
loop_
_space_group_symop_operation_xyz
'x,y,z'
'-x,-y,-z'
'-x,y+1/2,-z'
'x,-y+1/2,z'
loop_
_atom_site_label
_atom_site_fract_x
_atom_site_fract_y
_atom_site_fract_z
K1 0.072 0.250 0.202
Y1 0.390 0.250 0.822
Be1 0.232 0.750 0.463
F1 0.010 0.750 0.266
F2 0.236 0.535 0.594
F3 0.318 0.502 0.033
F4 0.440 0.750 0.407
# Formation energy from raw total energies, eV/atom: -3.604
# D(E_F), states/eV per atom: 0.000

Entry 3:
# PBE-GGA KZr2BeF, optimized geometry
data_KZr2BeF
_chemical_formula_sum 'K1 Zr2 Be1 F1'
_space_group_name_H-M_alt 'P 4/m m m'
_space_group_IT_number 123
_space_group_name_Hall '-P 4 2'
_cell_length_a 5.113
_cell_length_b 5.113
_cell_length_c 4.086
_cell_angle_alpha 90.00
_cell_angle_beta 90.00
_cell_angle_gamma 90.00
loop_
_atom_site_label
_atom_site_fract_x
_atom_site_fract_y
_atom_site_fract_z
K1 0.000 0.000 0.000
Zr1 0.000 0.500 0.000
Be1 0.000 0.000 0.500
F1 0.500 0.500 0.500
# Formation energy from raw total energies, eV/atom: 1.865
# D(E_F), states/eV per atom: 0.929

Entry 4:
# PBE-GGA LaBeF2, optimized geometry
data_LaBeF2
_chemical_formula_sum 'La3 Be3 F6'
_space_group_name_H-M_alt 'R -3 m'
_space_group_IT_number 166
_space_group_name_Hall '-R 3 2"'
_cell_length_a 2.9403
_cell_length_b 2.9403
_cell_length_c 25.1131
_cell_angle_alpha 90.00
_cell_angle_beta 90.00
_cell_angle_gamma 120.00
loop_
_atom_site_label
_atom_site_fract_x
_atom_site_fract_y
_atom_site_fract_z
La1 0.0000 0.0000 0.0000
Be1 0.0000 0.0000 0.5000
F1 0.0000 0.0000 0.1334
# Formation energy from raw total energies, eV/atom: -1.631
# Offset from the most stable computed form, eV per atom: 0.2561
# D(E_F), states/eV per atom: 0.385

In the order shown, the computed mass density values come out to 2.59; 3.35; 3.88; 4.93 g cm⁻³.